The following is a GGA+U calculation of Na3Mn2P2C2O14 after structural relaxation, from Alexandria.

a b c (Å): 8.303 8.446 9.116
angles (deg): 90.41 92.10 103.21
Sites, in units of the cell vectors:
Na 0.095 0.148 0.258
Na 0.381 0.385 0.729
Na 0.390 0.876 0.264
Na 0.610 0.124 0.736
Na 0.619 0.615 0.271
Na 0.905 0.852 0.742
Mn 0.021 0.765 0.141
Mn 0.475 0.730 0.844
Mn 0.525 0.270 0.156
Mn 0.979 0.235 0.859
P 0.236 0.491 0.070
P 0.269 0.030 0.928
P 0.731 0.970 0.072
P 0.764 0.509 0.930
C 0.009 0.260 0.593
C 0.481 0.239 0.420
C 0.519 0.761 0.580
C 0.991 0.740 0.407
O 0.032 0.269 0.461
O 0.088 0.339 0.039
O 0.100 0.357 0.695
O 0.108 0.849 0.344
O 0.125 0.080 0.838
O 0.180 0.630 0.156
O 0.201 0.950 0.073
O 0.305 0.553 0.921
O 0.341 0.918 0.830
O 0.364 0.443 0.174
O 0.384 0.148 0.318
O 0.400 0.654 0.639
O 0.407 0.186 0.967
O 0.462 0.223 0.554
O 0.538 0.777 0.446
O 0.593 0.814 0.033
O 0.600 0.346 0.361
O 0.616 0.852 0.682
O 0.636 0.557 0.826
O 0.659 0.082 0.170
O 0.695 0.447 0.079
O 0.799 0.050 0.927
O 0.820 0.370 0.844
O 0.875 0.920 0.162
O 0.892 0.151 0.656
O 0.900 0.643 0.305
O 0.912 0.661 0.961
O 0.968 0.731 0.539

Values from the calculation:
Electronic total energy   -6.94 eV per atom
Density   2.6 Mg/m³
ΔE to the lowest computed polymorph   0.0010 eV per atom